# 1
A plane-wave DFT calculation with PBE-GGA was carried out for a relaxed LaGd3Os crystal.

```
LaGd3Os
1.0
-4.920 2.466 0.094
-2.443 -4.838 -0.959
-0.347 -0.899 5.419
Gd La Os
3 1 1
Direct
0.000 0.000 0.500 Gd
0.000 0.500 0.000 Gd
0.500 0.000 0.000 Gd
0.500 0.500 0.500 La
0.000 0.000 0.000 Os
```

- crystal system = cubic
- total DFT energy (no corrections) (eV/cell) = -58.488
- M_tot (μB/f.u.) = 22.2
- theoretical density (g cm⁻³) = 8.0
- N(E_F) (states/eV/cell) = 5.91
- energy of formation from the pure elements (eV per atom) = -0.018

# 2
A plane-wave DFT calculation with PBE-GGA was carried out for a relaxed LaGdOs crystal.

```
LaGdOs
1.0
3.474 0.000 0.000
0.000 3.474 0.000
-1.737 -1.737 6.939
La Gd Os
1 1 1
Direct
0.042 0.042 0.084 La
0.288 0.288 0.576 Gd
0.670 0.670 0.340 Os
```

- crystal system = tetragonal
- total DFT energy (no corrections) (eV/cell) = -30.572
- M_tot (μB/f.u.) = 7.1
- theoretical density (g cm⁻³) = 9.6
- N(E_F) (states/eV/cell) = 2.04
- energy of formation from the pure elements (eV per atom) = -0.111

# 3
A plane-wave DFT calculation with PBE-GGA was carried out for a relaxed LaGdOs crystal.

```
LaGdOs
1.0
-4.213 0.436 2.473
-4.237 -1.241 -2.136
-2.406 -4.012 1.473
Gd La Os
1 1 1
Direct
0.000 0.000 0.000 Gd
0.500 0.500 0.500 La
0.250 0.250 0.250 Os
```

- crystal system = cubic
- total DFT energy (no corrections) (eV/cell) = -30.632
- M_tot (μB/f.u.) = 7.1
- theoretical density (g cm⁻³) = 9.7
- N(E_F) (states/eV/cell) = 1.91
- energy of formation from the pure elements (eV per atom) = -0.131

# 4
A plane-wave DFT calculation with PBE-GGA was carried out for a relaxed La3GdOs crystal.

```
La3GdOs
1.0
5.678 0.000 0.000
0.000 5.678 0.000
0.000 0.000 5.678
La Gd Os
3 1 1
Direct
0.000 0.500 0.000 La
0.500 0.000 0.000 La
0.000 0.000 0.500 La
0.500 0.500 0.500 Gd
0.000 0.000 0.000 Os
```

- crystal system = cubic
- total DFT energy (no corrections) (eV/cell) = -39.972
- M_tot (μB/f.u.) = 7.8
- theoretical density (g cm⁻³) = 6.9
- N(E_F) (states/eV/cell) = 8.57
- energy of formation from the pure elements (eV per atom) = 0.024

# 5
A plane-wave DFT calculation with PBE-GGA was carried out for a relaxed LaGd2Os crystal.

```
LaGd2Os
1.0
-2.414 -2.902 -0.235
0.940 -3.086 -1.973
3.793 -6.266 7.984
Gd Os La
2 1 1
Direct
0.886 0.886 0.341 Gd
0.114 0.114 0.659 Gd
0.500 0.500 0.500 Os
0.000 0.000 0.000 La
```

- crystal system = trigonal
- total DFT energy (no corrections) (eV/cell) = -43.412
- M_tot (μB/f.u.) = 14.3
- theoretical density (g cm⁻³) = 8.1
- N(E_F) (states/eV/cell) = 5.53
- energy of formation from the pure elements (eV per atom) = 0.227

# 6
A plane-wave DFT calculation with PBE-GGA was carried out for a relaxed LaGd2Os crystal.

```
LaGd2Os
1.0
3.450 0.000 0.000
0.000 3.450 0.000
0.000 0.000 9.551
Gd Os La
2 1 1
Direct
0.000 0.000 0.175 Gd
0.000 0.000 0.825 Gd
0.500 0.500 0.000 Os
0.500 0.500 0.500 La
```

- crystal system = tetragonal
- total DFT energy (no corrections) (eV/cell) = -44.648
- M_tot (μB/f.u.) = 14.1
- theoretical density (g cm⁻³) = 9.4
- N(E_F) (states/eV/cell) = 3.16
- energy of formation from the pure elements (eV per atom) = -0.082